1.
Computed, not measured: an optimized crystal structure of SrSb2As at the PBE level of DFT.

Cell and atoms, written as extended XYZ:
```
4
Lattice="-0.819 -2.261 7.916 2.761 -4.099 6.635 2.770 -0.039 7.796" Properties=species:S:1:pos:R:3 pbc="T T T"
Sb 0.030 -0.041 0.142
Sr 2.319 -3.150 10.999
As 3.491 -4.742 16.560
Sb 1.227 -1.667 5.821
```

The calculation puts the density of states at the Fermi level at 2.8 states/eV per cell. The space group is R3m (160). Its uncorrected formation energy is -0.35 eV per atom. The size of the total moment comes out at 0.0 μB/f.u.

2.
Computed, not measured: an optimized crystal structure of PRh6O12 at the PBE level of DFT.

Cell and atoms, written as extended XYZ:
```
19
Lattice="5.870 -0.009 -0.010 -0.899 5.801 -0.010 -0.899 -1.047 5.706" Properties=species:S:1:pos:R:3 pbc="T T T"
O 4.238 4.988 3.991
O 1.079 4.195 3.157
O 3.983 2.802 2.240
O 1.907 3.321 0.993
Rh 3.005 4.540 2.420
Rh 1.068 0.206 3.265
Rh 4.032 1.727 4.032
O 2.166 1.424 4.691
P 0.000 0.000 0.000
Rh 2.977 1.537 0.786
Rh 1.096 3.208 4.899
O 4.288 3.043 5.578
O 2.994 0.551 2.528
O 0.090 1.944 3.445
O -0.215 1.702 0.106
O 2.358 4.649 5.621
Rh 0.041 3.018 1.653
O 1.715 0.097 0.064
O -0.164 -0.243 1.694
```

The calculation puts the density of states at the Fermi level at 14.7 states/eV per cell. The space group is R-3 (148). Its uncorrected formation energy is -0.72 eV per atom. The size of the total moment comes out at 0.0 μB/f.u.

3.
Computed, not measured: an optimized crystal structure of ErTcBrO4 at the PBE level of DFT.

Cell and atoms, written as extended XYZ:
```
14
Lattice="6.336 0.166 -0.150 2.255 5.923 -0.150 1.587 1.125 6.613" Properties=species:S:1:pos:R:3 pbc="T T T"
O 2.066 3.051 0.860
O 6.841 4.848 2.854
O 6.615 6.275 5.454
Br 0.475 0.336 1.617
O 3.563 0.939 0.860
O 5.212 3.694 5.092
O 3.338 2.366 3.460
Tc 6.573 4.659 4.569
Er 6.806 4.824 0.450
O 8.112 4.163 5.454
O 4.966 3.520 1.222
Br 9.704 6.878 4.697
Er 3.372 2.390 5.864
Tc 3.605 2.555 1.745
```

The calculation puts the density of states at the Fermi level at 6.1 states/eV per cell. The space group is C2/m (12). Its uncorrected formation energy is -1.98 eV per atom. The size of the total moment comes out at 1.0 μB/f.u.

4.
Computed, not measured: an optimized crystal structure of CaBe2CdRh at the PBE level of DFT.

Cell and atoms, written as extended XYZ:
```
5
Lattice="-0.435 0.263 4.391 1.771 -4.783 0.462 4.125 1.558 0.316" Properties=species:S:1:pos:R:3 pbc="T T T"
Be 2.062 0.779 0.158
Ca 2.730 -1.481 2.585
Rh 0.885 -2.392 0.231
Cd 0.000 0.000 0.000
Be -0.218 0.132 2.196
```

The calculation puts the density of states at the Fermi level at 3.2 states/eV per cell. The space group is P4/mmm (123). The calculation puts the formation energy at 619 meV per atom. The size of the total moment comes out at 0.0 μB/f.u.

5.
Computed, not measured: an optimized crystal structure of LaCoRh3 at the PBE level of DFT.

Cell and atoms, written as extended XYZ:
```
5
Lattice="-2.632 3.464 -2.141 -3.823 -2.981 -0.123 -1.404 1.621 4.349" Properties=species:S:1:pos:R:3 pbc="T T T"
La 0.000 0.000 0.000
Co -3.929 1.052 1.043
Rh -0.702 0.810 2.175
Rh -1.911 -1.490 -0.062
Rh -1.316 1.732 -1.070
```

The calculation puts the density of states at the Fermi level at 5.8 states/eV per cell. The space group is Pm-3m (221). The calculation puts the formation energy at 1432 meV per atom. The size of the total moment comes out at 2.4 μB/f.u.

6.
Computed, not measured: an optimized crystal structure of CaBe2Cu at the PBE level of DFT.

Cell and atoms, written as extended XYZ:
```
4
Lattice="-2.837 2.748 -0.375 -0.338 -0.875 -3.853 -2.846 -2.817 0.889" Properties=species:S:1:pos:R:3 pbc="T T T"
Be -1.588 0.937 -2.114
Ca -2.842 -0.034 0.257
Cu -1.592 -1.846 -1.482
Be 0.000 0.000 0.000
```

The calculation puts the density of states at the Fermi level at 1.9 states/eV per cell. The space group is P4/mmm (123). The calculation puts the formation energy at 592 meV per atom. The size of the total moment comes out at 0.0 μB/f.u.

7.
Computed, not measured: an optimized crystal structure of AcSiN at the PBE level of DFT.

Cell and atoms, written as extended XYZ:
```
6
Lattice="4.143 0.000 0.000 0.000 3.976 -0.826 0.000 -0.588 7.137" Properties=species:S:1:pos:R:3 pbc="T T T"
N 1.744 0.841 2.694
Si 3.816 0.273 -0.026
Ac 3.816 2.780 2.053
Si 1.744 0.484 0.980
N 3.816 3.304 4.571
Ac 1.744 1.365 5.212
```

The calculation puts the density of states at the Fermi level at 1.7 states/eV per cell. The space group is Cmcm (63). Its uncorrected formation energy is -0.91 eV per atom. The size of the total moment comes out at 0.0 μB/f.u.

8.
Computed, not measured: an optimized crystal structure of Ti5Ga4Ge at the PBE level of DFT.

Cell and atoms, written as extended XYZ:
```
10
Lattice="5.216 0.000 0.000 2.608 5.833 0.000 2.608 0.000 5.833" Properties=species:S:1:pos:R:3 pbc="T T T"
Ga 7.830 4.638 3.508
Ti 7.830 2.284 4.699
Ti 2.612 0.000 0.000
Ge 0.004 0.000 0.000
Ti 2.614 3.549 1.133
Ga 2.614 1.195 2.325
Ga 5.222 2.325 4.638
Ga 5.222 3.508 1.195
Ti 5.222 1.133 2.284
Ti 5.222 4.699 3.549
```

The calculation puts the density of states at the Fermi level at 8.0 states/eV per cell. The space group is I4/m (87). The calculation puts the formation energy at -175 meV per atom. The size of the total moment comes out at 0.0 μB/f.u.

9.
Computed, not measured: an optimized crystal structure of CsGeS2N at the PBE level of DFT.

Cell and atoms, written as extended XYZ:
```
5
Lattice="5.139 0.000 0.000 0.000 5.139 0.000 0.000 0.000 4.121" Properties=species:S:1:pos:R:3 pbc="T T T"
Cs 2.570 2.570 2.061
S 0.000 2.570 0.000
S 2.570 0.000 0.000
Ge 0.000 0.000 0.000
N 0.000 0.000 2.061
```

The calculation puts the density of states at the Fermi level at 4.2 states/eV per cell. The space group is P4/mmm (123). Its uncorrected formation energy is 0.42 eV per atom. The size of the total moment comes out at 2.3 μB/f.u.

10.
Computed, not measured: an optimized crystal structure of Pm7Er2Sc2 at the PBE level of DFT.

Cell and atoms, written as extended XYZ:
```
11
Lattice="6.522 -0.002 -1.624 0.004 9.608 0.004 -2.027 -0.002 6.409" Properties=species:S:1:pos:R:3 pbc="T T T"
Pm 2.247 1.751 2.395
Pm 0.000 0.000 0.000
Pm 3.260 2.952 -0.809
Pm 2.253 7.853 2.394
Er 1.129 4.803 1.202
Pm 1.240 6.652 5.598
Er 3.370 4.801 3.587
Pm 5.508 2.950 1.585
Sc 0.274 -0.002 4.247
Sc 4.226 9.606 0.542
Pm -1.008 6.654 3.205
```

The calculation puts the density of states at the Fermi level at 19.2 states/eV per cell. The space group is Cmmm (65). The calculation puts the formation energy at 332 meV per atom. The size of the total moment comes out at 0.4 μB/f.u.

11.
Computed, not measured: an optimized crystal structure of LaMg2Cd at the PBE level of DFT.

Cell and atoms, written as extended XYZ:
```
4
Lattice="-2.476 2.287 0.831 -1.229 -2.196 2.391 5.238 3.520 5.926" Properties=species:S:1:pos:R:3 pbc="T T T"
Mg 2.401 1.614 2.717
Mg 0.218 0.146 0.246
La 2.076 2.685 6.055
Cd -0.543 0.925 3.092
```

The calculation puts the density of states at the Fermi level at 3.7 states/eV per cell. The space group is P4/mmm (123). The calculation puts the formation energy at -122 meV per atom. The size of the total moment comes out at 0.0 μB/f.u.

12.
Computed, not measured: an optimized crystal structure of KSr3 at the PBE level of DFT.

Cell and atoms, written as extended XYZ:
```
4
Lattice="-4.045 4.521 4.505 -7.101 0.548 -2.524 4.454 -5.936 1.419" Properties=species:S:1:pos:R:3 pbc="T T T"
Sr -2.582 0.560 3.457
Sr -4.110 -1.427 -0.057
K 0.000 0.000 0.000
Sr -5.573 2.535 0.990
```

The calculation puts the density of states at the Fermi level at 4.0 states/eV per cell. The space group is I4/mmm (139). The calculation puts the formation energy at 97 meV per atom. The size of the total moment comes out at 0.0 μB/f.u.

> Which of these has the highest size of the total moment?

LaCoRh3